## Co3OF5 (GGA+U)

Data for crystalline Co3OF5 at its relaxed geometry.

Cell and atoms, written as POSCAR:
```
Co3OF5
1.0
4.5189 -3.3962 0.0000
4.5189 3.3962 0.0000
-2.6018 0.0000 6.7668
Co O F
6 2 10
Direct
0.0000 0.0000 0.0000
0.0000 0.0000 0.5000
0.3366 0.3366 0.3270
0.3575 0.3575 0.8532
0.6425 0.6425 0.1468
0.6634 0.6634 0.6730
0.4285 0.4285 0.1353
0.5715 0.5715 0.8647
0.0351 0.6422 0.8275
0.1161 0.1161 0.8031
0.2417 0.2417 0.5400
0.3014 0.6986 0.5000
0.3578 0.9649 0.1725
0.6422 0.0351 0.8275
0.6986 0.3014 0.5000
0.7583 0.7583 0.4600
0.8839 0.8839 0.1969
0.9649 0.3578 0.1725
```

Values from the calculation:
Relative energy among the computed polymorphs ... 18 kJ/mol of formula units
Space group ... No. 12
Spin magnetization ... 0.9987 μB per atom